Density functional theory data (PBE) for a relaxed Li2ZnSi2 crystal.

abc: 3.686 3.686 11.795
angles: 90.00 90.00 90.00
Space group I4/mmm (No. 139)
One atom of each set of equivalent atoms:
Li (0.000, 0.500, 0.250) (multiplicity 4)
Zn (0.000, 0.000, 0.000) (multiplicity 2)
Si (0.000, 0.000, 0.405) (multiplicity 4)

The volume comes out at 16.0 Å³ per atom. As for the crystal system: tetragonal. The calculation puts the formation energy without anion corrections at 39 kJ/mol of formula units. For the magnetization, the calculation gives 0.0000 μB/atom. The value obtained for the energy is -3.109 eV per atom.

***

Density functional theory data (PBE) for a relaxed Li2Zn2Si crystal.

abc: 6.402 6.402 3.963
angles: 90.00 90.00 90.00
Space group P4/mbm (No. 127)
One atom of each set of equivalent atoms:
Li (0.168, 0.332, 0.000) (multiplicity 4)
Zn (0.136, 0.636, 0.500) (multiplicity 4)
Si (0.000, 0.000, 0.500) (multiplicity 2)

The volume comes out at 16.2 Å³ per atom. As for the crystal system: tetragonal. Its relative energy among the computed polymorphs is 1.70 kcal/mol of atoms. The calculation puts the formation energy without anion corrections at -26 kJ/mol of formula units. For the magnetization, the calculation gives 0.0000 μB/atom. The value obtained for the energy is -2.414 eV per atom.

***

Density functional theory data (PBE) for a relaxed LiZn3Si crystal.

abc: 4.796 4.796 4.796
angles: 90.00 90.00 90.00
Space group Pm-3m (No. 221)
One atom of each set of equivalent atoms:
Li (0.000, 0.000, 0.000) (multiplicity 1)
Zn (0.000, 0.500, 0.500) (multiplicity 3)
Si (0.500, 0.500, 0.500) (multiplicity 1)

The volume comes out at 22.1 Å³ per atom. As for the crystal system: cubic. Its relative energy among the computed polymorphs is 0.00 kcal/mol of atoms. The calculation puts the formation energy without anion corrections at 165 kJ/mol of formula units. For the magnetization, the calculation gives 0.0000 μB/atom. The value obtained for the energy is -1.891 eV per atom.

***

Density functional theory data (PBE) for a relaxed Li4ZnSi2 crystal.

abc: 3.8928 3.8928 9.0091
angles: 90.00 90.00 120.00
Space group P-3m1 (No. 164)
One atom of each set of equivalent atoms:
Li (0.3333, 0.6667, 0.2758) (multiplicity 2)
Li (0.3333, 0.6667, 0.8744) (multiplicity 2)
Zn (0.0000, 0.0000, 0.0000) (multiplicity 1)
Si (0.3333, 0.6667, 0.5571) (multiplicity 2)

The volume comes out at 16.9 Å³ per atom. As for the crystal system: trigonal. The calculation puts the formation energy without anion corrections at -36 kJ/mol of formula units. For the magnetization, the calculation gives 0.0000 μB/atom. The value obtained for the energy is -2.878 eV per atom.

***

Density functional theory data (PBE) for a relaxed LiZn2Si crystal.

abc: 3.939 3.939 17.082
angles: 90.00 90.00 90.00
Space group I-42d (No. 122)
One atom of each set of equivalent atoms:
Li (0.000, 0.000, 0.000) (multiplicity 4)
Zn (0.244, 0.250, 0.625) (multiplicity 8)
Si (0.000, 0.000, 0.500) (multiplicity 4)

The volume comes out at 16.6 Å³ per atom. As for the crystal system: tetragonal. The calculation puts the formation energy without anion corrections at 61 kJ/mol of formula units. For the magnetization, the calculation gives 0.0000 μB/atom. The value obtained for the energy is -2.314 eV per atom.

***

Density functional theory data (PBE) for a relaxed Li5ZnSi crystal.

abc: 4.231 4.231 6.740
angles: 90.00 90.00 90.00
Space group P4/mmm (No. 123)
One atom of each set of equivalent atoms:
Li (0.000, 0.000, 0.000) (multiplicity 1)
Li (0.000, 0.500, 0.242) (multiplicity 4)
Zn (0.000, 0.000, 0.500) (multiplicity 1)
Si (0.500, 0.500, 0.000) (multiplicity 1)

The volume comes out at 17.2 Å³ per atom. As for the crystal system: tetragonal. The calculation puts the formation energy without anion corrections at -38 kJ/mol of formula units. For the magnetization, the calculation gives 0.0001 μB/atom. The value obtained for the energy is -2.379 eV per atom.